{"formula": "SbOsRh", "functional": "GGA-PBEsol", "state": "optimized geometry", "formation_energy_uncorrected_mev_per_atom": 308.5, "final_energy_ev_per_atom": -7.995, "cell": [[0.0000, 3.0275, 3.0275], [3.0275, 0.0000, 3.0275], [3.0275, 3.0275, 0.0000]], "species": ["Sb", "Os", "Rh"], "fractional_positions": [[0.0000, 0.0000, 0.0000], [0.2500, 0.2500, 0.2500], [0.5000, 0.5000, 0.5000]]}